This record from the Alexandria database describes crystalline Ac8Tb4Nd at its relaxed geometry. The functional is PBE-GGA.

ΔH_f (0 K) = 0.39 eV per atom

abc: 8.343 8.343 8.343
angles: 90.08 90.08 90.08
Element x y z (fractional)
1 Ac 0.241 0.241 0.241
2 Ac 0.241 0.241 0.759
3 Ac 0.241 0.759 0.241
4 Ac 0.241 0.759 0.759
5 Ac 0.759 0.241 0.241
6 Ac 0.759 0.241 0.759
7 Ac 0.759 0.759 0.241
8 Ac 0.759 0.759 0.759
9 Tb 0.000 0.000 0.000
10 Tb 0.000 0.500 0.500
11 Tb 0.500 0.000 0.500
12 Tb 0.500 0.500 0.000
13 Nd 0.500 0.500 0.500